(1)
VASP calculation (PBE) on a geometry-optimized SrAs2Ru structure.

```
data_SrAs2Ru
_chemical_formula_sum 'Sr1 As2 Ru1'
_space_group_name_H-M_alt 'P 1'
_space_group_IT_number 1
_cell_length_a 4.443
_cell_length_b 4.443
_cell_length_c 4.074
_cell_angle_alpha 90.00
_cell_angle_beta 90.00
_cell_angle_gamma 90.00
loop_
_space_group_symop_operation_xyz
'x,y,z'
loop_
_atom_site_label
_atom_site_type_symbol
_atom_site_fract_x
_atom_site_fract_y
_atom_site_fract_z
Ru1 Ru 0.500 0.000 0.500
As1 As 0.000 0.000 0.000
As2 As 0.500 0.500 0.000
Sr1 Sr 0.000 0.500 0.500
```

Properties
The excess energy over the best structure of this formula in the dataset comes out at 3.21 eV per formula unit. The mass density comes out at 6.99 g/cm3. For the energy of formation from the pure elements, the calculation gives 0.12 eV/atom.

---

(2)
VASP calculation (PBE) on a geometry-optimized SrAs2Ru structure.

```
data_SrAs2Ru
_chemical_formula_sum 'Sr1 As2 Ru1'
_space_group_name_H-M_alt 'P 1'
_space_group_IT_number 1
_cell_length_a 4.842
_cell_length_b 4.842
_cell_length_c 4.842
_cell_angle_alpha 60.00
_cell_angle_beta 60.00
_cell_angle_gamma 60.00
loop_
_space_group_symop_operation_xyz
'x,y,z'
loop_
_atom_site_label
_atom_site_type_symbol
_atom_site_fract_x
_atom_site_fract_y
_atom_site_fract_z
Ru1 Ru 0.500 0.500 0.500
As1 As 0.000 0.000 0.000
As2 As 0.250 0.250 0.250
Sr1 Sr 0.750 0.750 0.750
```

Properties
The excess energy over the best structure of this formula in the dataset comes out at 3.90 eV per formula unit. The mass density comes out at 7.00 g/cm3. For the energy of formation from the pure elements, the calculation gives 0.29 eV/atom.

---

(3)
VASP calculation (PBE) on a geometry-optimized SrAs2Ru structure.

```
data_SrAs2Ru
_chemical_formula_sum 'Sr2 As4 Ru2'
_space_group_name_H-M_alt 'P 1'
_space_group_IT_number 1
_cell_length_a 4.101
_cell_length_b 4.101
_cell_length_c 10.793
_cell_angle_alpha 90.00
_cell_angle_beta 90.00
_cell_angle_gamma 90.00
loop_
_space_group_symop_operation_xyz
'x,y,z'
loop_
_atom_site_label
_atom_site_type_symbol
_atom_site_fract_x
_atom_site_fract_y
_atom_site_fract_z
Sr1 Sr 0.000 0.500 0.269
Sr2 Sr 0.500 0.000 0.731
As1 As 0.500 0.000 0.124
As2 As 0.000 0.500 0.876
As3 As 0.000 0.000 0.500
As4 As 0.500 0.500 0.500
Ru1 Ru 0.500 0.500 0.000
Ru2 Ru 0.000 0.000 0.000
```

Properties
The excess energy over the best structure of this formula in the dataset comes out at 0.00 eV per formula unit. The mass density comes out at 6.19 g/cm3. For the energy of formation from the pure elements, the calculation gives -0.68 eV/atom.

---

(4)
VASP calculation (PBE) on a geometry-optimized Sr2AsRu structure.

```
data_Sr2AsRu
_chemical_formula_sum 'Sr2 As1 Ru1'
_space_group_name_H-M_alt 'P 1'
_space_group_IT_number 1
_cell_length_a 8.065
_cell_length_b 4.875
_cell_length_c 4.198
_cell_angle_alpha 90.03
_cell_angle_beta 58.59
_cell_angle_gamma 127.07
loop_
_space_group_symop_operation_xyz
'x,y,z'
loop_
_atom_site_label
_atom_site_type_symbol
_atom_site_fract_x
_atom_site_fract_y
_atom_site_fract_z
Ru1 Ru 0.500 0.500 0.000
As1 As 0.000 0.500 0.500
Sr1 Sr 0.000 0.000 0.000
Sr2 Sr 0.500 0.000 0.500
```

Properties
The mass density comes out at 5.85 g/cm3. For the energy of formation from the pure elements, the calculation gives -0.02 eV/atom.

---

(5)
VASP calculation (PBE) on a geometry-optimized SrAsRu4 structure.

```
data_SrAsRu4
_chemical_formula_sum 'Sr1 As1 Ru4'
_space_group_name_H-M_alt 'P 1'
_space_group_IT_number 1
_cell_length_a 5.320
_cell_length_b 5.320
_cell_length_c 5.320
_cell_angle_alpha 60.00
_cell_angle_beta 60.00
_cell_angle_gamma 60.00
loop_
_space_group_symop_operation_xyz
'x,y,z'
loop_
_atom_site_label
_atom_site_type_symbol
_atom_site_fract_x
_atom_site_fract_y
_atom_site_fract_z
Sr1 Sr 0.750 0.750 0.750
As1 As 0.000 0.000 0.000
Ru1 Ru 0.879 0.374 0.374
Ru2 Ru 0.374 0.374 0.879
Ru3 Ru 0.374 0.879 0.374
Ru4 Ru 0.374 0.374 0.374
```

Properties
The mass density comes out at 8.84 g/cm3. For the energy of formation from the pure elements, the calculation gives 0.50 eV/atom.

---

(6)
VASP calculation (PBE) on a geometry-optimized SrAs2Ru structure.

```
data_SrAs2Ru
_chemical_formula_sum 'Sr1 As2 Ru1'
_space_group_name_H-M_alt 'P 1'
_space_group_IT_number 1
_cell_length_a 3.317
_cell_length_b 3.234
_cell_length_c 7.283
_cell_angle_alpha 90.00
_cell_angle_beta 90.00
_cell_angle_gamma 90.00
loop_
_space_group_symop_operation_xyz
'x,y,z'
loop_
_atom_site_label
_atom_site_type_symbol
_atom_site_fract_x
_atom_site_fract_y
_atom_site_fract_z
Ru1 Ru 0.500 0.500 0.250
As1 As 0.000 0.000 0.057
As2 As 0.000 0.000 0.443
Sr1 Sr 0.500 0.500 0.750
```

Properties
The excess energy over the best structure of this formula in the dataset comes out at 1.75 eV per formula unit. The mass density comes out at 7.19 g/cm3. For the energy of formation from the pure elements, the calculation gives -0.24 eV/atom.

---

(7)
VASP calculation (PBE) on a geometry-optimized SrAsRu structure.

```
data_SrAsRu
_chemical_formula_sum 'Sr1 As1 Ru1'
_space_group_name_H-M_alt 'P 1'
_space_group_IT_number 1
_cell_length_a 6.142
_cell_length_b 6.142
_cell_length_c 3.323
_cell_angle_alpha 74.31
_cell_angle_beta 74.30
_cell_angle_gamma 31.39
loop_
_space_group_symop_operation_xyz
'x,y,z'
loop_
_atom_site_label
_atom_site_type_symbol
_atom_site_fract_x
_atom_site_fract_y
_atom_site_fract_z
Ru1 Ru 0.372 0.372 0.628
As1 As 0.961 0.961 0.039
Sr1 Sr 0.668 0.668 0.332
```

Properties
The mass density comes out at 6.99 g/cm3. For the energy of formation from the pure elements, the calculation gives -0.31 eV/atom.

---

(8)
VASP calculation (PBE) on a geometry-optimized Sr2AsRu structure.

```
data_Sr2AsRu
_chemical_formula_sum 'Sr2 As1 Ru1'
_space_group_name_H-M_alt 'P 1'
_space_group_IT_number 1
_cell_length_a 4.281
_cell_length_b 4.758
_cell_length_c 5.974
_cell_angle_alpha 66.53
_cell_angle_beta 90.00
_cell_angle_gamma 90.00
loop_
_space_group_symop_operation_xyz
'x,y,z'
loop_
_atom_site_label
_atom_site_type_symbol
_atom_site_fract_x
_atom_site_fract_y
_atom_site_fract_z
Ru1 Ru 0.500 0.574 0.727
As1 As 0.000 0.678 0.518
Sr1 Sr 0.000 0.982 0.912
Sr2 Sr 0.500 0.266 0.343
```

Properties
The mass density comes out at 5.23 g/cm3. For the energy of formation from the pure elements, the calculation gives -0.41 eV/atom.

---

(9)
VASP calculation (PBE) on a geometry-optimized SrAs2Ru structure.

```
data_SrAs2Ru
_chemical_formula_sum 'Sr1 As2 Ru1'
_space_group_name_H-M_alt 'P 1'
_space_group_IT_number 1
_cell_length_a 5.559
_cell_length_b 5.559
_cell_length_c 5.559
_cell_angle_alpha 136.15
_cell_angle_beta 136.15
_cell_angle_gamma 63.75
loop_
_space_group_symop_operation_xyz
'x,y,z'
loop_
_atom_site_label
_atom_site_type_symbol
_atom_site_fract_x
_atom_site_fract_y
_atom_site_fract_z
Ru1 Ru 0.500 0.500 0.000
As1 As 0.000 0.000 0.000
As2 As 0.250 0.750 0.500
Sr1 Sr 0.750 0.250 0.500
```

Properties
The excess energy over the best structure of this formula in the dataset comes out at 3.40 eV per formula unit. The mass density comes out at 6.91 g/cm3. For the energy of formation from the pure elements, the calculation gives 0.17 eV/atom.

---

(10)
VASP calculation (PBE) on a geometry-optimized SrAs2Ru structure.

```
data_SrAs2Ru
_chemical_formula_sum 'Sr1 As2 Ru1'
_space_group_name_H-M_alt 'P 1'
_space_group_IT_number 1
_cell_length_a 4.791
_cell_length_b 4.791
_cell_length_c 4.791
_cell_angle_alpha 60.00
_cell_angle_beta 60.00
_cell_angle_gamma 60.00
loop_
_space_group_symop_operation_xyz
'x,y,z'
loop_
_atom_site_label
_atom_site_type_symbol
_atom_site_fract_x
_atom_site_fract_y
_atom_site_fract_z
Ru1 Ru 0.500 0.500 0.500
As1 As 0.250 0.250 0.250
As2 As 0.750 0.750 0.750
Sr1 Sr 0.000 0.000 0.000
```

Properties
The excess energy over the best structure of this formula in the dataset comes out at 2.17 eV per formula unit. The mass density comes out at 7.23 g/cm3. For the energy of formation from the pure elements, the calculation gives -0.14 eV/atom.

---

(11)
VASP calculation (PBE) on a geometry-optimized Sr2AsRu structure.

```
data_Sr2AsRu
_chemical_formula_sum 'Sr2 As1 Ru1'
_space_group_name_H-M_alt 'P 1'
_space_group_IT_number 1
_cell_length_a 5.051
_cell_length_b 5.051
_cell_length_c 5.051
_cell_angle_alpha 60.00
_cell_angle_beta 60.00
_cell_angle_gamma 60.00
loop_
_space_group_symop_operation_xyz
'x,y,z'
loop_
_atom_site_label
_atom_site_type_symbol
_atom_site_fract_x
_atom_site_fract_y
_atom_site_fract_z
Ru1 Ru 0.750 0.750 0.750
As1 As 0.500 0.500 0.500
Sr1 Sr 0.000 0.000 0.000
Sr2 Sr 0.250 0.250 0.250
```

Properties
The mass density comes out at 6.40 g/cm3. For the energy of formation from the pure elements, the calculation gives 0.11 eV/atom.

---

(12)
VASP calculation (PBE) on a geometry-optimized Sr2AsRu structure.

```
data_Sr2AsRu
_chemical_formula_sum 'Sr2 As1 Ru1'
_space_group_name_H-M_alt 'P 1'
_space_group_IT_number 1
_cell_length_a 3.472
_cell_length_b 3.472
_cell_length_c 9.035
_cell_angle_alpha 90.00
_cell_angle_beta 90.00
_cell_angle_gamma 90.00
loop_
_space_group_symop_operation_xyz
'x,y,z'
loop_
_atom_site_label
_atom_site_type_symbol
_atom_site_fract_x
_atom_site_fract_y
_atom_site_fract_z
Ru1 Ru 0.500 0.500 0.676
As1 As 0.000 0.000 0.570
Sr1 Sr 0.000 0.000 0.923
Sr2 Sr 0.500 0.500 0.331
```

Properties
The mass density comes out at 5.35 g/cm3. For the energy of formation from the pure elements, the calculation gives -0.13 eV/atom.

---

(13)
VASP calculation (PBE) on a geometry-optimized Sr2AsRu structure.

```
data_Sr2AsRu
_chemical_formula_sum 'Sr2 As1 Ru1'
_space_group_name_H-M_alt 'P 1'
_space_group_IT_number 1
_cell_length_a 4.249
_cell_length_b 4.261
_cell_length_c 6.489
_cell_angle_alpha 90.00
_cell_angle_beta 90.00
_cell_angle_gamma 90.00
loop_
_space_group_symop_operation_xyz
'x,y,z'
loop_
_atom_site_label
_atom_site_type_symbol
_atom_site_fract_x
_atom_site_fract_y
_atom_site_fract_z
Ru1 Ru 0.500 0.500 0.775
As1 As 0.000 0.000 0.469
Sr1 Sr 0.000 0.000 0.936
Sr2 Sr 0.500 0.500 0.320
```

Properties
The mass density comes out at 4.97 g/cm3. For the energy of formation from the pure elements, the calculation gives 0.30 eV/atom.

---

(14)
VASP calculation (PBE) on a geometry-optimized Sr2AsRu structure.

```
data_Sr2AsRu
_chemical_formula_sum 'Sr2 As1 Ru1'
_space_group_name_H-M_alt 'P 1'
_space_group_IT_number 1
_cell_length_a 9.287
_cell_length_b 9.287
_cell_length_c 9.287
_cell_angle_alpha 23.11
_cell_angle_beta 23.11
_cell_angle_gamma 23.11
loop_
_space_group_symop_operation_xyz
'x,y,z'
loop_
_atom_site_label
_atom_site_type_symbol
_atom_site_fract_x
_atom_site_fract_y
_atom_site_fract_z
Ru1 Ru 0.750 0.750 0.750
As1 As 0.250 0.250 0.250
Sr1 Sr 0.003 0.003 0.003
Sr2 Sr 0.497 0.497 0.497
```

Properties
The mass density comes out at 5.39 g/cm3. For the energy of formation from the pure elements, the calculation gives 0.22 eV/atom.

---

(15)
VASP calculation (PBE) on a geometry-optimized Sr2AsRu structure.

```
data_Sr2AsRu
_chemical_formula_sum 'Sr2 As1 Ru1'
_space_group_name_H-M_alt 'P 1'
_space_group_IT_number 1
_cell_length_a 6.159
_cell_length_b 6.159
_cell_length_c 5.086
_cell_angle_alpha 68.74
_cell_angle_beta 68.74
_cell_angle_gamma 37.48
loop_
_space_group_symop_operation_xyz
'x,y,z'
loop_
_atom_site_label
_atom_site_type_symbol
_atom_site_fract_x
_atom_site_fract_y
_atom_site_fract_z
Ru1 Ru 0.174 0.174 0.313
As1 As 0.552 0.552 0.467
Sr1 Sr 0.993 0.993 0.017
Sr2 Sr 0.781 0.781 0.703
```

Properties
The mass density comes out at 5.38 g/cm3. For the energy of formation from the pure elements, the calculation gives -0.27 eV/atom.